Run i
Below is a relaxed CaOsRh2 crystal, with properties calculated at the PBE-GGA level.

The symmetry is Imm2 (44).

Cell: 5.8131 5.8131 5.8131 Å, 151.93 133.38 55.31°
With the nearest neighbours (Å) after each atom.
Fractional positions:
1 Ca 0.0000 0.0000 0.0000  4 Rh 2.70, 2 Ca 2.82
2 Os 0.7183 0.2183 0.5000  6 Rh 2.60-2.76, 2 Os 2.82
3 Rh 0.2749 0.7749 0.5000  4 Os 2.76, 4 Rh 2.77-2.82
4 Rh 0.5059 0.5059 0.0000  2 Os 2.60, 4 Ca 2.70, 4 Rh 2.77-2.82

=====

Run ii
Below is a relaxed CaOsRh2 crystal, with properties calculated at the PBE-GGA level.

The symmetry is P4mm (99).

Cell: 2.8338 2.8338 8.2609 Å, 90.00 90.00 90.00°
With the nearest neighbours (Å) after each atom.
Fractional positions:
1 Ca 0.0000 0.0000 0.0000  4 Ca 2.83, 4 Rh 3.03, 4 Os 3.12
2 Os 0.5000 0.5000 0.2898  4 Rh 2.64, 4 Os 2.83
3 Rh 0.0000 0.0000 0.4970  4 Os 2.64, 8 Rh 2.75-2.83
4 Rh 0.5000 0.5000 0.7253  8 Rh 2.75-2.83, 4 Ca 3.03

=====

It is run i that is most stable; the runner-up trails by 5.7 kJ/mol of atoms.

=====

Run i
Below is a relaxed CaOsRh2 crystal, with properties calculated at the PBE-GGA level.

The symmetry is R3m (160).

Cell: 9.4338 9.4338 9.4338 Å, 17.34 17.34 17.34°
With the nearest neighbours (Å) after each atom.
Fractional positions:
1 Ca 0.0000 0.0000 0.0000  6 Ca 2.84, 3 Rh 2.89, 3 Os 3.06
2 Os 0.7593 0.7593 0.7593  3 Rh 2.64, 6 Os 2.84
3 Rh 0.2479 0.2479 0.2479  9 Rh 2.79-2.84, 3 Ca 2.89
4 Rh 0.5001 0.5001 0.5001  3 Os 2.64, 9 Rh 2.79-2.84

=====

Run ii
Below is a relaxed CaOsRh2 crystal, with properties calculated at the PBE-GGA level.

The symmetry is Pm (6).

Cell: 2.8207 4.5159 5.2632 Å, 90.00 103.49 90.00°
With the nearest neighbours (Å) after each atom.
Fractional positions:
1 Ca 0.0000 0.0000 0.0000  7 Rh 2.61-2.89, 2 Ca 2.82
2 Os 0.7184 0.5000 0.3741  7 Rh 2.71-2.79, 2 Os 2.82
3 Rh 0.2917 0.0000 0.5090  3 Ca 2.61-2.89, 4 Os 2.73-2.77, 4 Rh 2.79-2.82
4 Rh 0.4248 0.5000 0.8296  3 Os 2.71-2.79, 4 Rh 2.79-2.82, 4 Ca 2.80

=====

It is run ii that is most stable; the runner-up trails by 29.1 kJ/mol of atoms.